# AgAuBr2 (PBE, optimized geometry)
data_AgAuBr2
_chemical_formula_sum 'Ag1 Au1 Br2'
_cell_length_a 4.3869
_cell_length_b 4.4875
_cell_length_c 6.7032
_cell_angle_alpha 86.73
_cell_angle_beta 88.37
_cell_angle_gamma 75.12
_symmetry_space_group_name_H-M 'P 1'
_symmetry_Int_Tables_number 1
loop_
_symmetry_equiv_pos_as_xyz
'x,y,z'
loop_
_atom_site_label
_atom_site_fract_x
_atom_site_fract_y
_atom_site_fract_z
Ag1 0.0000 0.0000 0.0000
Au1 0.4253 0.4330 0.9024
Br1 0.2002 0.2059 0.6390
Br2 0.6334 0.6489 0.1855
# Distance to the lowest polymorph of the same formula   0.0089 eV per atom
# Uncorrected formation energy   -0.194 eV/atom
# D(E_F)   0.000 states/eV/atom



# Ag3AuBr8 (PBE, optimized geometry)
data_Ag3AuBr8
_chemical_formula_sum 'Ag6 Au2 Br16'
_cell_length_a 15.8546
_cell_length_b 7.6667
_cell_length_c 7.0983
_cell_angle_alpha 90.00
_cell_angle_beta 114.94
_cell_angle_gamma 90.00
_symmetry_space_group_name_H-M 'C 1 2/m 1'
_symmetry_Int_Tables_number 12
loop_
_symmetry_equiv_pos_as_xyz
'x,y,z'
'-x,-y,-z'
'-x,y,-z'
'x,-y,z'
'x+1/2,y+1/2,z'
'-x+1/2,-y+1/2,-z'
'-x+1/2,y+1/2,-z'
'x+1/2,-y+1/2,z'
loop_
_atom_site_label
_atom_site_fract_x
_atom_site_fract_y
_atom_site_fract_z
Ag1 0.0000 0.0000 0.0000
Ag2 0.2500 0.2500 0.5000
Au1 0.0000 0.5000 0.0000
Br1 0.0055 0.2716 0.2541
Br2 0.2369 0.0000 0.2334
Br3 0.2405 0.0000 0.7441
# Uncorrected formation energy   -0.212 eV/atom
# D(E_F)   0.637 states/eV/atom



# AgAuBr2 (PBE, optimized geometry)
data_AgAuBr2
_chemical_formula_sum 'Ag2 Au2 Br4'
_cell_length_a 9.9787
_cell_length_b 3.9904
_cell_length_c 6.3531
_cell_angle_alpha 90.00
_cell_angle_beta 92.23
_cell_angle_gamma 90.00
_symmetry_space_group_name_H-M 'C 1 m 1'
_symmetry_Int_Tables_number 8
loop_
_symmetry_equiv_pos_as_xyz
'x,y,z'
'x,-y,z'
'x+1/2,y+1/2,z'
'x+1/2,-y+1/2,z'
loop_
_atom_site_label
_atom_site_fract_x
_atom_site_fract_y
_atom_site_fract_z
Ag1 0.0000 0.0000 0.0000
Au1 0.2876 0.0000 0.0379
Br1 0.1657 0.5000 0.2513
Br2 0.4246 0.0000 0.7129
# Distance to the lowest polymorph of the same formula   0.0990 eV per atom
# Uncorrected formation energy   -0.104 eV/atom



# AgAuBr2 (PBE, optimized geometry)
data_AgAuBr2
_chemical_formula_sum 'Ag1 Au1 Br2'
_cell_length_a 3.5799
_cell_length_b 3.5799
_cell_length_c 7.1672
_cell_angle_alpha 90.00
_cell_angle_beta 90.00
_cell_angle_gamma 90.00
_symmetry_space_group_name_H-M 'P 4/m m m'
_symmetry_Int_Tables_number 123
_symmetry_space_group_name_Hall '-P 4 2'
loop_
_atom_site_label
_atom_site_fract_x
_atom_site_fract_y
_atom_site_fract_z
Ag1 0.0000 0.0000 0.0000
Au1 0.0000 0.0000 0.5000
Br1 0.5000 0.5000 0.2486
# Distance to the lowest polymorph of the same formula   0.3747 eV per atom
# Uncorrected formation energy   0.172 eV/atom
# D(E_F)   0.316 states/eV/atom



# AgAuBr2 (PBE, optimized geometry)
data_AgAuBr2
_chemical_formula_sum 'Ag2 Au2 Br4'
_cell_length_a 4.0159
_cell_length_b 7.1490
_cell_length_c 7.6610
_cell_angle_alpha 90.00
_cell_angle_beta 90.00
_cell_angle_gamma 90.00
_symmetry_space_group_name_H-M 'I m m m'
_symmetry_Int_Tables_number 71
_symmetry_space_group_name_Hall '-I 2 2'
loop_
_atom_site_label
_atom_site_fract_x
_atom_site_fract_y
_atom_site_fract_z
Ag1 0.0000 0.0000 0.0000
Au1 0.0000 0.0000 0.5000
Br1 0.0000 0.5000 0.2441
# Distance to the lowest polymorph of the same formula   0.2184 eV per atom
# Uncorrected formation energy   0.016 eV/atom
# D(E_F)   0.170 states/eV/atom



# AgAuBr2 (PBE, optimized geometry)
data_AgAuBr2
_chemical_formula_sum 'Ag4 Au4 Br8'
_cell_length_a 7.1505
_cell_length_b 7.1505
_cell_length_c 7.1505
_cell_angle_alpha 90.00
_cell_angle_beta 90.00
_cell_angle_gamma 90.00
_symmetry_space_group_name_H-M 'F -4 3 m'
_symmetry_Int_Tables_number 216
_symmetry_space_group_name_Hall 'F -4 2 3'
loop_
_atom_site_label
_atom_site_fract_x
_atom_site_fract_y
_atom_site_fract_z
Ag1 0.0000 0.0000 0.0000
Au1 0.2500 0.2500 0.2500
Br1 0.0000 0.0000 0.5000
Br2 0.2500 0.2500 0.7500
# Distance to the lowest polymorph of the same formula   0.5611 eV per atom
# Uncorrected formation energy   0.358 eV/atom
# D(E_F)   0.691 states/eV/atom



# AgAuBr2 (PBE, optimized geometry)
data_AgAuBr2
_chemical_formula_sum 'Ag3 Au3 Br6'
_cell_length_a 4.1426
_cell_length_b 4.1426
_cell_length_c 19.9277
_cell_angle_alpha 90.00
_cell_angle_beta 90.00
_cell_angle_gamma 120.00
_symmetry_space_group_name_H-M 'R -3 m'
_symmetry_Int_Tables_number 166
_symmetry_space_group_name_Hall '-R 3 2"'
loop_
_atom_site_label
_atom_site_fract_x
_atom_site_fract_y
_atom_site_fract_z
Ag1 0.0000 0.0000 0.0000
Au1 0.0000 0.0000 0.5000
Br1 0.0000 0.0000 0.2493
# Distance to the lowest polymorph of the same formula   0.1742 eV per atom
# Uncorrected formation energy   -0.029 eV/atom
# D(E_F)   0.316 states/eV/atom



# AgAuBr (PBE, optimized geometry)
data_AgAuBr
_chemical_formula_sum 'Ag2 Au2 Br2'
_cell_length_a 3.3888
_cell_length_b 3.3888
_cell_length_c 11.1583
_cell_angle_alpha 90.00
_cell_angle_beta 90.00
_cell_angle_gamma 90.00
_symmetry_space_group_name_H-M 'I 4 m m'
_symmetry_Int_Tables_number 107
_symmetry_space_group_name_Hall 'I 4 -2'
loop_
_atom_site_label
_atom_site_fract_x
_atom_site_fract_y
_atom_site_fract_z
Ag1 0.0000 0.0000 0.0000
Au1 0.0000 0.0000 0.3574
Br1 0.0000 0.0000 0.6681
# Distance to the lowest polymorph of the same formula   0.1582 eV per atom
# Uncorrected formation energy   0.179 eV/atom
# D(E_F)   0.340 states/eV/atom



The lowest uncorrected formation energy belongs to which entry? Ag3AuBr8